CsK4Ba: relaxed, PBE.

a = 12.262 Å, b = 12.262 Å, c = 12.262 Å
α = 90.00°, β = 90.00°, γ = 90.00°
Space group F-43m (No. 216)
Asymmetric unit:
Cs 0.000 0.000 0.000 x4
K 0.124 0.124 0.376 x16
Ba 0.250 0.250 0.750 x4

Summary:
For the formation energy, the calculation gives 0.086 eV per atom.



CsK2Ba2: relaxed, PBE.

a = 13.187 Å, b = 13.187 Å, c = 4.546 Å
α = 90.00°, β = 90.00°, γ = 90.00°
Space group P4/mbm (No. 127)
Asymmetric unit:
Cs 0.000 0.000 0.000 x2
K 0.178 0.322 0.500 x4
Ba 0.114 0.614 0.000 x4

Summary:
For the formation energy, the calculation gives 0.160 eV per atom. As for the energy above the most stable polymorph in this dataset: 0 meV/atom.



CsK2Ba2: relaxed, PBE.

a = 6.065 Å, b = 6.065 Å, c = 21.894 Å
α = 90.00°, β = 90.00°, γ = 90.00°
Space group I4/mmm (No. 139)
Asymmetric unit:
Cs 0.000 0.000 0.000 x2
K 0.000 0.000 0.402 x4
Ba 0.000 0.500 0.250 x4

Summary:
For the formation energy, the calculation gives 0.179 eV per atom. As for the energy above the most stable polymorph in this dataset: 18 meV/atom.



Cs2KBa2: relaxed, PBE.

a = 13.806 Å, b = 13.806 Å, c = 4.681 Å
α = 90.00°, β = 90.00°, γ = 90.00°
Space group P4/mbm (No. 127)
Asymmetric unit:
Cs 0.182 0.318 0.000 x4
K 0.000 0.000 0.000 x2
Ba 0.111 0.611 0.500 x4

Summary:
For the formation energy, the calculation gives 0.242 eV per atom. As for the energy above the most stable polymorph in this dataset: 6 meV/atom.



Cs6K8Ba: relaxed, PBE.

a = 13.0308 Å, b = 13.0308 Å, c = 9.1967 Å
α = 90.00°, β = 90.00°, γ = 120.00°
Space group P-3 (No. 147)
Asymmetric unit:
Cs 0.0936 0.6604 0.1679 x6
K 0.0506 0.7741 0.6585 x6
K 0.3333 0.6667 0.6479 x2
Ba 0.0000 0.0000 0.0000 x1

Summary:
For the formation energy, the calculation gives 0.064 eV per atom.



Cs2K2Ba: relaxed, PBE.

a = 6.531 Å, b = 6.531 Å, c = 20.817 Å
α = 90.00°, β = 90.00°, γ = 90.00°
Space group I4/mmm (No. 139)
Asymmetric unit:
Cs 0.000 0.500 0.250 x4
K 0.000 0.000 0.091 x4
Ba 0.000 0.000 0.500 x2

Summary:
For the formation energy, the calculation gives 0.198 eV per atom. As for the energy above the most stable polymorph in this dataset: 74 meV/atom.



CsKBa2: relaxed, PBE.

a = 10.612 Å, b = 10.612 Å, c = 10.612 Å
α = 90.00°, β = 90.00°, γ = 90.00°
Space group Fm-3m (No. 225)
Asymmetric unit:
Cs 0.000 0.000 0.000 x4
K 0.000 0.000 0.500 x4
Ba 0.250 0.250 0.250 x8

Summary:
For the formation energy, the calculation gives 0.195 eV per atom. As for the energy above the most stable polymorph in this dataset: 42 meV/atom.



Cs2K2Ba: relaxed, PBE.

a = 12.817 Å, b = 12.817 Å, c = 5.157 Å
α = 90.00°, β = 90.00°, γ = 90.00°
Space group P4/mbm (No. 127)
Asymmetric unit:
Cs 0.176 0.324 0.000 x4
K 0.125 0.625 0.500 x4
Ba 0.000 0.000 0.500 x2

Summary:
For the formation energy, the calculation gives 0.125 eV per atom. As for the energy above the most stable polymorph in this dataset: 0 meV/atom.



Cs3K3Ba: relaxed, PBE.

a = 11.724 Å, b = 11.724 Å, c = 11.724 Å
α = 90.00°, β = 90.00°, γ = 90.00°
Space group Pm-3n (No. 223)
Asymmetric unit:
Cs 0.000 0.250 0.500 x6
K 0.000 0.500 0.250 x6
Ba 0.000 0.000 0.000 x2

Summary:
For the formation energy, the calculation gives 0.398 eV per atom.



CsK2BaLi: relaxed, PBE.

a = 7.112 Å, b = 7.112 Å, c = 7.080 Å
α = 90.00°, β = 90.00°, γ = 90.00°
Space group P4/mmm (No. 123)
Asymmetric unit:
Cs 0.000 0.000 0.000 x1
K 0.000 0.500 0.500 x2
Ba 0.500 0.500 0.000 x1
Li 0.500 0.500 0.500 x1

Summary:
For the formation energy, the calculation gives 0.174 eV per atom.



Cs2KBaN: relaxed, PBE.

a = 8.842 Å, b = 8.842 Å, c = 4.710 Å
α = 90.00°, β = 90.00°, γ = 90.00°
Space group P4/mmm (No. 123)
Asymmetric unit:
Cs 0.000 0.500 0.000 x2
K 0.000 0.000 0.500 x1
Ba 0.500 0.500 0.000 x1
N 0.500 0.500 0.500 x1

Summary:
For the uncorrected formation energy, the calculation gives 0.39 eV/atom.



CsKBaNa: relaxed, PBE.

a = 10.306 Å, b = 10.306 Å, c = 10.306 Å
α = 90.00°, β = 90.00°, γ = 90.00°
Space group F-43m (No. 216)
Asymmetric unit:
Cs 0.000 0.000 0.000 x4
K 0.250 0.250 0.750 x4
Ba 0.000 0.000 0.500 x4
Na 0.250 0.250 0.250 x4

Summary:
For the formation energy, the calculation gives 0.118 eV per atom.



CsKBaPb: relaxed, PBE.

a = 8.973 Å, b = 8.973 Å, c = 8.973 Å
α = 90.00°, β = 90.00°, γ = 90.00°
Space group F-43m (No. 216)
Asymmetric unit:
Cs 0.000 0.000 0.000 x4
K 0.250 0.250 0.250 x4
Ba 0.250 0.250 0.750 x4
Pb 0.000 0.000 0.500 x4

Summary:
For the formation energy, the calculation gives -0.170 eV per atom.



CsKBa2Pd: relaxed, PBE.

a = 6.328 Å, b = 6.328 Å, c = 7.246 Å
α = 90.00°, β = 90.00°, γ = 90.00°
Space group P4/mmm (No. 123)
Asymmetric unit:
Cs 0.000 0.000 0.000 x1
K 0.500 0.500 0.000 x1
Ba 0.000 0.500 0.500 x2
Pd 0.500 0.500 0.500 x1

Summary:
For the formation energy, the calculation gives -0.089 eV per atom.



CsKBa2Pd: relaxed, PBE.

a = 6.357 Å, b = 6.357 Å, c = 7.355 Å
α = 90.00°, β = 90.00°, γ = 90.00°
Space group P4/mmm (No. 123)
Asymmetric unit:
Cs 0.000 0.000 0.000 x1
K 0.500 0.500 0.000 x1
Ba 0.000 0.500 0.500 x2
Pd 0.000 0.000 0.500 x1

Summary:
For the formation energy, the calculation gives -0.091 eV per atom.



CsK2BaPt: relaxed, PBE.

a = 6.767 Å, b = 6.767 Å, c = 6.093 Å
α = 90.00°, β = 90.00°, γ = 90.00°
Space group P4/mmm (No. 123)
Asymmetric unit:
Cs 0.000 0.000 0.000 x1
K 0.000 0.500 0.500 x2
Ba 0.500 0.500 0.000 x1
Pt 0.500 0.500 0.500 x1

Summary:
For the formation energy, the calculation gives -0.069 eV per atom.



CsKRbBa: relaxed, PBE.

a = 10.996 Å, b = 10.996 Å, c = 10.996 Å
α = 90.00°, β = 90.00°, γ = 90.00°
Space group F-43m (No. 216)
Asymmetric unit:
Cs 0.000 0.000 0.000 x4
K 0.250 0.250 0.750 x4
Rb 0.250 0.250 0.250 x4
Ba 0.000 0.000 0.500 x4

Summary:
For the formation energy, the calculation gives 0.133 eV per atom.



CsKBa2Rh: relaxed, PBE.

a = 6.114 Å, b = 6.114 Å, c = 7.321 Å
α = 90.00°, β = 90.00°, γ = 90.00°
Space group P4/mmm (No. 123)
Asymmetric unit:
Cs 0.000 0.000 0.000 x1
K 0.500 0.500 0.000 x1
Ba 0.000 0.500 0.500 x2
Rh 0.000 0.000 0.500 x1

Summary:
For the formation energy, the calculation gives 0.083 eV per atom.



CsKBa2Rh: relaxed, PBE.

a = 6.112 Å, b = 6.112 Å, c = 7.192 Å
α = 90.00°, β = 90.00°, γ = 90.00°
Space group P4/mmm (No. 123)
Asymmetric unit:
Cs 0.000 0.000 0.000 x1
K 0.500 0.500 0.000 x1
Ba 0.000 0.500 0.500 x2
Rh 0.500 0.500 0.500 x1

Summary:
For the formation energy, the calculation gives 0.084 eV per atom.



CsKBa2S: relaxed, PBE.

a = 6.288 Å, b = 6.288 Å, c = 7.483 Å
α = 90.00°, β = 90.00°, γ = 90.00°
Space group P4/mmm (No. 123)
Asymmetric unit:
Cs 0.000 0.000 0.000 x1
K 0.500 0.500 0.000 x1
Ba 0.000 0.500 0.500 x2
S 0.000 0.000 0.500 x1

Summary:
For the uncorrected formation energy, the calculation gives -0.66 eV/atom.